Record 1
Ca2SmTlTe4: optimized geometry, PBE.

Computed properties:
Formation energy without anion corrections   -1299 meV/atom
Uncorrected energy   -4.255 eV per atom
DOS at the Fermi energy   0.01 states/eV per atom

a b c (Å): 7.807 4.565 8.077
angles (deg): 90.00 108.57 90.00
Sites, in units of the cell vectors:
Ca (0.000, 0.000, 0.000)
Ca (0.000, 0.500, 0.500)
Sm (0.500, 0.000, 0.500)
Tl (0.500, 0.500, 0.000)
Te (0.240, 0.000, 0.730)
Te (0.250, 0.500, 0.261)
Te (0.750, 0.500, 0.739)
Te (0.760, 0.000, 0.270)


Record 2
K3RbAu: optimized geometry, PBE.

Computed properties:
Calculated formation energy   -0.12 eV per atom
Uncorrected energy   -1.629 eV per atom
DOS at the Fermi energy   0.59 states/eV per atom
E above lowest polymorph   12 meV/atom

a b c (Å): 11.320 4.926 11.731
angles (deg): 90.00 113.41 90.00
Sites, in units of the cell vectors:
K (0.005, 0.250, 0.246)
K (0.261, 0.750, 0.156)
K (0.326, 0.250, 0.901)
K (0.674, 0.750, 0.099)
K (0.739, 0.250, 0.844)
K (0.995, 0.750, 0.754)
Rb (0.349, 0.750, 0.577)
Rb (0.651, 0.250, 0.423)
Au (0.061, 0.250, 0.980)
Au (0.939, 0.750, 0.020)


Record 3
NdSmPu2S4: optimized geometry, PBE.

Computed properties:
Formation energy without anion corrections   -1914 meV/atom
Uncorrected energy   -8.747 eV per atom
DOS at the Fermi energy   1.99 states/eV per atom

a b c (Å): 6.912 3.989 6.942
angles (deg): 90.00 109.37 90.00
Sites, in units of the cell vectors:
Nd (0.000, 0.000, 0.000)
Sm (0.500, 0.500, 0.000)
Pu (0.000, 0.500, 0.500)
Pu (0.500, 0.000, 0.500)
S (0.250, 0.000, 0.743)
S (0.255, 0.500, 0.259)
S (0.745, 0.500, 0.741)
S (0.750, 0.000, 0.257)


Record 4
Ho7In2Sb2: optimized geometry, PBE.

Computed properties:
Formation energy without anion corrections   -313 meV/atom
Uncorrected energy   -4.473 eV per atom
DOS at the Fermi energy   1.29 states/eV per atom

a b c (Å): 6.876 6.876 7.463
angles (deg): 90.00 90.00 105.55
Sites, in units of the cell vectors:
Ho (0.000, 0.000, 0.000)
Ho (0.000, 0.500, 0.280)
Ho (0.000, 0.500, 0.720)
Ho (0.500, 0.000, 0.280)
Ho (0.500, 0.000, 0.720)
Ho (0.500, 0.500, 0.269)
Ho (0.500, 0.500, 0.731)
In (0.175, 0.175, 0.500)
In (0.825, 0.825, 0.500)
Sb (0.284, 0.716, 0.000)
Sb (0.716, 0.284, 0.000)


Record 5
Rb5Sn2Te5: optimized geometry, PBE.

Computed properties:
Formation energy without anion corrections   -758 meV/atom
Uncorrected energy   -3.137 eV per atom
DOS at the Fermi energy   0.11 states/eV per atom

a b c (Å): 8.417 8.417 13.663
angles (deg): 106.67 106.67 36.24
Sites, in units of the cell vectors:
Rb (0.000, 0.000, 0.000)
Rb (0.162, 0.162, 0.564)
Rb (0.258, 0.258, 0.863)
Rb (0.742, 0.742, 0.137)
Rb (0.838, 0.838, 0.436)
Sn (0.450, 0.450, 0.698)
Sn (0.550, 0.550, 0.302)
Te (0.146, 0.146, 0.288)
Te (0.398, 0.398, 0.126)
Te (0.500, 0.500, 0.500)
Te (0.602, 0.602, 0.874)
Te (0.854, 0.854, 0.712)


Record 6
Ag5Sb: optimized geometry, PBE.

Computed properties:
Formation energy without anion corrections   51 meV/atom
Uncorrected energy   -3.012 eV per atom
DOS at the Fermi energy   0.46 states/eV per atom
E above lowest polymorph   21 meV/atom

a b c (Å): 5.165 9.138 5.115
angles (deg): 90.00 107.02 90.00
Sites, in units of the cell vectors:
Ag (0.000, 0.000, 0.000)
Ag (0.000, 0.167, 0.500)
Ag (0.000, 0.329, 0.000)
Ag (0.000, 0.671, 0.000)
Ag (0.000, 0.833, 0.500)
Ag (0.500, 0.171, 0.000)
Ag (0.500, 0.333, 0.500)
Ag (0.500, 0.500, 0.000)
Ag (0.500, 0.667, 0.500)
Ag (0.500, 0.829, 0.000)
Sb (0.000, 0.500, 0.500)
Sb (0.500, 0.000, 0.500)